(1)
# Pm3Dy5Er, optimized geometry, DFT GGA-PBE
data_Pm3Dy5Er
_symmetry_space_group_name_H-M 'I 4/m c m'
_symmetry_Int_Tables_number 140
_symmetry_space_group_name_Hall '-I 4 2c'
_cell_length_a 8.714
_cell_length_b 8.714
_cell_length_c 15.478
_cell_angle_alpha 90.00
_cell_angle_beta 90.00
_cell_angle_gamma 90.00
loop_
_atom_site_label
_atom_site_type_symbol
_atom_site_fract_x
_atom_site_fract_y
_atom_site_fract_z
Pm1 Pm 0.000 0.000 0.250
Pm2 Pm 0.117 0.383 0.000
Dy1 Dy 0.000 0.000 0.000
Dy2 Dy 0.210 0.290 0.362
Er1 Er 0.000 0.500 0.250
# Total energy in eV for the cell shown: -157.484
# Offset from the most stable computed form in eV/f.u.: 0.00
# ΔE_f in eV/f.u.: 2.45

***

(2)
# PrYTm2Sc4, optimized geometry, DFT GGA-PBE
data_PrYTm2Sc4
_symmetry_space_group_name_H-M 'C 1 2/c 1'
_symmetry_Int_Tables_number 15
_cell_length_a 13.044
_cell_length_b 12.654
_cell_length_c 6.540
_cell_angle_alpha 90.00
_cell_angle_beta 120.08
_cell_angle_gamma 90.00
loop_
_symmetry_equiv_pos_as_xyz
'x,y,z'
'-x,-y,-z'
'-x,y,-z+1/2'
'x,-y,z+1/2'
'x+1/2,y+1/2,z'
'-x+1/2,-y+1/2,-z'
'-x+1/2,y+1/2,-z+1/2'
'x+1/2,-y+1/2,z+1/2'
loop_
_atom_site_label
_atom_site_type_symbol
_atom_site_fract_x
_atom_site_fract_y
_atom_site_fract_z
Pr1 Pr 0.000 0.000 0.000
Y1 Y 0.250 0.250 0.000
Tm1 Tm 0.000 0.500 0.000
Tm2 Tm 0.250 0.250 0.500
Sc1 Sc 0.000 0.254 0.003
Sc2 Sc 0.246 0.497 0.494
# Total energy in eV for the cell shown: -167.944
# ΔE_f in eV/f.u.: 3.53

***

(3)
# Sr2CdH, optimized geometry, DFT GGA-PBE
data_Sr2CdH
_symmetry_space_group_name_H-M 'R 3 m'
_symmetry_Int_Tables_number 160
_symmetry_space_group_name_Hall 'R 3 -2"'
_cell_length_a 4.0805
_cell_length_b 4.0805
_cell_length_c 24.5439
_cell_angle_alpha 90.00
_cell_angle_beta 90.00
_cell_angle_gamma 120.00
loop_
_atom_site_label
_atom_site_type_symbol
_atom_site_fract_x
_atom_site_fract_y
_atom_site_fract_z
Sr1 Sr 0.0000 0.0000 0.0000
Sr2 Sr 0.0000 0.0000 0.2016
Cd1 Cd 0.0000 0.0000 0.4333
H1 H 0.0000 0.0000 0.6029
# Total energy in eV for the cell shown: -25.062
# Offset from the most stable computed form in eV/f.u.: 0.66

***

(4)
# Zn5NiPd6, optimized geometry, DFT GGA-PBE
data_Zn5NiPd6
_symmetry_space_group_name_H-M 'C m m m'
_symmetry_Int_Tables_number 65
_symmetry_space_group_name_Hall '-C 2 2'
_cell_length_a 4.123
_cell_length_b 12.369
_cell_length_c 6.725
_cell_angle_alpha 90.00
_cell_angle_beta 90.00
_cell_angle_gamma 90.00
loop_
_atom_site_label
_atom_site_type_symbol
_atom_site_fract_x
_atom_site_fract_y
_atom_site_fract_z
Zn1 Zn 0.000 0.000 0.000
Zn2 Zn 0.000 0.333 0.000
Zn3 Zn 0.000 0.341 0.500
Ni1 Ni 0.000 0.000 0.500
Pd1 Pd 0.000 0.167 0.252
Pd2 Pd 0.000 0.500 0.245
# Total energy in eV for the cell shown: -98.033
# ΔE_f in eV/f.u.: -5.71

***

(5)
# Ce2SiS, optimized geometry, DFT GGA-PBE
data_Ce2SiS
_symmetry_space_group_name_H-M 'R -3 m'
_symmetry_Int_Tables_number 166
_symmetry_space_group_name_Hall '-R 3 2"'
_cell_length_a 4.1269
_cell_length_b 4.1269
_cell_length_c 20.0560
_cell_angle_alpha 90.00
_cell_angle_beta 90.00
_cell_angle_gamma 120.00
loop_
_atom_site_label
_atom_site_type_symbol
_atom_site_fract_x
_atom_site_fract_y
_atom_site_fract_z
Ce1 Ce 0.0000 0.0000 0.2483
Si1 Si 0.0000 0.0000 0.0000
S1 S 0.0000 0.0000 0.5000
# Total energy in eV for the cell shown: -79.673
# Uncorrected formation energy in eV/f.u.: -5.14
# Offset from the most stable computed form in eV/f.u.: 0.11

***

(6)
# FeAs6Pd, optimized geometry, DFT GGA-PBE
data_FeAs6Pd
_symmetry_space_group_name_H-M 'C 1 2/m 1'
_symmetry_Int_Tables_number 12
_cell_length_a 11.935
_cell_length_b 8.453
_cell_length_c 8.488
_cell_angle_alpha 90.00
_cell_angle_beta 134.65
_cell_angle_gamma 90.00
loop_
_symmetry_equiv_pos_as_xyz
'x,y,z'
'-x,-y,-z'
'-x,y,-z'
'x,-y,z'
'x+1/2,y+1/2,z'
'-x+1/2,-y+1/2,-z'
'-x+1/2,y+1/2,-z'
'x+1/2,-y+1/2,z'
loop_
_atom_site_label
_atom_site_type_symbol
_atom_site_fract_x
_atom_site_fract_y
_atom_site_fract_z
Fe1 Fe 0.250 0.250 0.000
As1 As 0.012 0.149 0.858
As2 As 0.141 0.500 0.285
As3 As 0.148 0.346 0.661
As4 As 0.167 0.500 0.015
Pd1 Pd 0.250 0.250 0.500
# Total energy in eV for the cell shown: -174.423
# ΔE_f in eV/f.u.: -2.05

***

(7)
# Ac12PmGe7, optimized geometry, DFT GGA-PBE
data_Ac12PmGe7
_symmetry_space_group_name_H-M 'R -3'
_symmetry_Int_Tables_number 148
_symmetry_space_group_name_Hall '-R 3'
_cell_length_a 16.0284
_cell_length_b 16.0284
_cell_length_c 10.8548
_cell_angle_alpha 90.00
_cell_angle_beta 90.00
_cell_angle_gamma 120.00
loop_
_atom_site_label
_atom_site_type_symbol
_atom_site_fract_x
_atom_site_fract_y
_atom_site_fract_z
Ac1 Ac 0.0276 0.4380 0.1640
Ac2 Ac 0.0491 0.8715 0.8302
Pm1 Pm 0.0000 0.0000 0.5000
Ge1 Ge 0.0000 0.0000 0.0000
Ge2 Ge 0.0501 0.8717 0.3356
# Total energy in eV for the cell shown: -283.998
# ΔE_f in eV/f.u.: -8.29

***

(8)
# Tb5Au2, optimized geometry, DFT GGA-PBE
data_Tb5Au2
_symmetry_space_group_name_H-M 'C 1 2/c 1'
_symmetry_Int_Tables_number 15
_cell_length_a 16.692
_cell_length_b 6.863
_cell_length_c 6.995
_cell_angle_alpha 90.00
_cell_angle_beta 95.48
_cell_angle_gamma 90.00
loop_
_symmetry_equiv_pos_as_xyz
'x,y,z'
'-x,-y,-z'
'-x,y,-z+1/2'
'x,-y,z+1/2'
'x+1/2,y+1/2,z'
'-x+1/2,-y+1/2,-z'
'-x+1/2,y+1/2,-z+1/2'
'x+1/2,-y+1/2,z+1/2'
loop_
_atom_site_label
_atom_site_type_symbol
_atom_site_fract_x
_atom_site_fract_y
_atom_site_fract_z
Tb1 Tb 0.000 0.048 0.250
Tb2 Tb 0.094 0.378 0.950
Tb3 Tb 0.223 0.059 0.294
Au1 Au 0.112 0.215 0.557
# Total energy in eV for the cell shown: -132.781
# ΔE_f in eV/f.u.: -3.49

***

(9)
# RbBa2UO6, optimized geometry, DFT GGA-PBE
data_RbBa2UO6
_symmetry_space_group_name_H-M 'P -1'
_symmetry_Int_Tables_number 2
_cell_length_a 6.322
_cell_length_b 6.443
_cell_length_c 6.507
_cell_angle_alpha 117.24
_cell_angle_beta 90.53
_cell_angle_gamma 118.37
loop_
_symmetry_equiv_pos_as_xyz
'x,y,z'
'-x,-y,-z'
loop_
_atom_site_label
_atom_site_type_symbol
_atom_site_fract_x
_atom_site_fract_y
_atom_site_fract_z
Rb1 Rb 0.000 0.000 0.000
Ba1 Ba 0.255 0.495 0.723
U1 U 0.500 0.000 0.500
O1 O 0.194 0.834 0.617
O2 O 0.326 0.618 0.180
O3 O 0.359 0.160 0.368
# Total energy in eV for the cell shown: -72.170
# Uncorrected formation energy in eV/f.u.: -26.32

***

(10)
# NbZnI2O, optimized geometry, DFT GGA-PBE
data_NbZnI2O
_symmetry_space_group_name_H-M 'P 4/m m m'
_symmetry_Int_Tables_number 123
_symmetry_space_group_name_Hall '-P 4 2'
_cell_length_a 5.669
_cell_length_b 5.669
_cell_length_c 3.639
_cell_angle_alpha 90.00
_cell_angle_beta 90.00
_cell_angle_gamma 90.00
loop_
_atom_site_label
_atom_site_type_symbol
_atom_site_fract_x
_atom_site_fract_y
_atom_site_fract_z
Nb1 Nb 0.000 0.000 0.000
Zn1 Zn 0.500 0.500 0.500
I1 I 0.000 0.500 0.500
O1 O 0.500 0.500 0.000
# Total energy in eV for the cell shown: -18.450
# Uncorrected formation energy in eV/f.u.: 0.95
# Offset from the most stable computed form in eV/f.u.: 3.83

***

(11)
# BaLi2Mg, optimized geometry, DFT GGA-PBE
data_BaLi2Mg
_symmetry_space_group_name_H-M 'P m m m'
_symmetry_Int_Tables_number 47
_cell_length_a 4.000
_cell_length_b 5.659
_cell_length_c 5.911
_cell_angle_alpha 90.00
_cell_angle_beta 90.00
_cell_angle_gamma 90.00
loop_
_symmetry_equiv_pos_as_xyz
'x,y,z'
'-x,-y,-z'
'-x,-y,z'
'x,y,-z'
'x,-y,-z'
'-x,y,z'
'-x,y,-z'
'x,-y,z'
loop_
_atom_site_label
_atom_site_type_symbol
_atom_site_fract_x
_atom_site_fract_y
_atom_site_fract_z
Ba1 Ba 0.000 0.000 0.000
Li1 Li 0.000 0.500 0.500
Li2 Li 0.500 0.500 0.000
Mg1 Mg 0.500 0.000 0.500
# Total energy in eV for the cell shown: -6.706
# ΔE_f in eV/f.u.: 0.64

***

(12)
# Be2InPb, optimized geometry, DFT GGA-PBE
data_Be2InPb
_symmetry_space_group_name_H-M 'I m m 2'
_symmetry_Int_Tables_number 44
_cell_length_a 3.494
_cell_length_b 3.831
_cell_length_c 12.205
_cell_angle_alpha 90.00
_cell_angle_beta 90.00
_cell_angle_gamma 90.00
loop_
_symmetry_equiv_pos_as_xyz
'x,y,z'
'-x,-y,z'
'-x,y,z'
'x,-y,z'
'x+1/2,y+1/2,z+1/2'
'-x+1/2,-y+1/2,z+1/2'
'-x+1/2,y+1/2,z+1/2'
'x+1/2,-y+1/2,z+1/2'
loop_
_atom_site_label
_atom_site_type_symbol
_atom_site_fract_x
_atom_site_fract_y
_atom_site_fract_z
Be1 Be 0.000 0.000 0.000
Be2 Be 0.000 0.500 0.079
In1 In 0.000 0.500 0.664
Pb1 Pb 0.000 0.000 0.397
# Total energy in eV for the cell shown: -23.614
# Offset from the most stable computed form in eV/f.u.: 0.71
# ΔE_f in eV/f.u.: 2.09

***

| no. | D(E_F) (states/eV per atom) |
| --- | --- |
| 1 | 1.22 |
| 2 | 2.22 |
| 3 | 0.64 |
| 4 | 0.35 |
| 5 | 1.93 |
| 6 | 0.01 |
| 7 | 1.16 |
| 8 | 1.07 |
| 9 | 0.79 |
| 10 | 1.07 |
| 11 | 0.87 |
| 12 | 0.43 |